1.
Entry from Alexandria: a relaxed structure of ScTlCoPd (PBE).

Computed properties:
**Energy of formation**: -1.1 eV/f.u.
**Density of states at the Fermi level**: 0.34 states/eV/atom
**Magnetization**: 0.96 μB/f.u.

Cell and atoms, written as CIF:
```
data_ScTlCoPd
_cell_length_a 6.4854
_cell_length_b 6.4854
_cell_length_c 6.4854
_cell_angle_alpha 90.00
_cell_angle_beta 90.00
_cell_angle_gamma 90.00
_symmetry_space_group_name_H-M 'F -4 3 m'
_symmetry_Int_Tables_number 216
_symmetry_space_group_name_Hall 'F -4 2 3'
loop_
_atom_site_label
_atom_site_type_symbol
_atom_site_fract_x
_atom_site_fract_y
_atom_site_fract_z
Sc1 Sc 0.0000 0.0000 0.0000
Tl1 Tl 0.0000 0.0000 0.5000
Co1 Co 0.2500 0.2500 0.7500
Pd1 Pd 0.2500 0.2500 0.2500
```



2.
Entry from Alexandria: a relaxed structure of Rb2SnF (PBE).

Computed properties:
**Formation energy (no corrections)**: -4.2 eV per formula unit
**Density of states at the Fermi level**: 0.08 states/eV/atom
**Magnetization**: 0.00 μB/f.u.

Cell and atoms, written as CIF:
```
data_Rb2SnF
_cell_length_a 8.1585
_cell_length_b 8.1585
_cell_length_c 9.7488
_cell_angle_alpha 90.00
_cell_angle_beta 90.00
_cell_angle_gamma 90.00
_symmetry_space_group_name_H-M 'I -4 2 d'
_symmetry_Int_Tables_number 122
_symmetry_space_group_name_Hall 'I -4 2bw'
loop_
_atom_site_label
_atom_site_type_symbol
_atom_site_fract_x
_atom_site_fract_y
_atom_site_fract_z
Rb1 Rb 0.1349 0.7500 0.1250
Sn1 Sn 0.0000 0.0000 0.5000
F1 F 0.0000 0.0000 0.0000
```



3.
Entry from Alexandria: a relaxed structure of Ba2PrAu (PBE).

Computed properties:
**Energy of formation**: 0.0 eV/f.u.
**Density of states at the Fermi level**: 1.65 states/eV/atom
**Magnetization**: 0.61 μB/f.u.

Cell and atoms, written as CIF:
```
data_Ba2PrAu
_cell_length_a 4.1134
_cell_length_b 4.1134
_cell_length_c 36.2337
_cell_angle_alpha 90.00
_cell_angle_beta 90.00
_cell_angle_gamma 120.00
_symmetry_space_group_name_H-M 'R -3 m'
_symmetry_Int_Tables_number 166
_symmetry_space_group_name_Hall '-R 3 2"'
loop_
_atom_site_label
_atom_site_type_symbol
_atom_site_fract_x
_atom_site_fract_y
_atom_site_fract_z
Ba1 Ba 0.0000 0.0000 0.1058
Pr1 Pr 0.0000 0.0000 0.0000
Au1 Au 0.0000 0.0000 0.5000
```



4.
Entry from Alexandria: a relaxed structure of CsTa3Ru (PBE).

Computed properties:
**Energy of formation**: 17.5 eV/f.u.
**Density of states at the Fermi level**: 1.03 states/eV/atom
**Magnetization**: 0.00 μB/f.u.

Cell and atoms, written as CIF:
```
data_CsTa3Ru
_cell_length_a 4.9361
_cell_length_b 4.9361
_cell_length_c 4.9361
_cell_angle_alpha 90.00
_cell_angle_beta 90.00
_cell_angle_gamma 90.00
_symmetry_space_group_name_H-M 'P m -3 m'
_symmetry_Int_Tables_number 221
_symmetry_space_group_name_Hall '-P 4 2 3'
loop_
_atom_site_label
_atom_site_type_symbol
_atom_site_fract_x
_atom_site_fract_y
_atom_site_fract_z
Cs1 Cs 0.0000 0.0000 0.0000
Ta1 Ta 0.0000 0.0000 0.5000
Ru1 Ru 0.5000 0.5000 0.5000
```



5.
Entry from Alexandria: a relaxed structure of Ba2ReHg3O6 (PBE).

Computed properties:
**Formation energy (no corrections)**: -17.5 eV per formula unit
**Density of states at the Fermi level**: 0.30 states/eV/atom
**Magnetization**: 0.00 μB/f.u.

Cell and atoms, written as CIF:
```
data_Ba2ReHg3O6
_cell_length_a 6.4958
_cell_length_b 11.0428
_cell_length_c 7.0534
_cell_angle_alpha 90.00
_cell_angle_beta 97.55
_cell_angle_gamma 90.00
_symmetry_space_group_name_H-M 'C 1 2/m 1'
_symmetry_Int_Tables_number 12
loop_
_symmetry_equiv_pos_as_xyz
'x,y,z'
'-x,-y,-z'
'-x,y,-z'
'x,-y,z'
'x+1/2,y+1/2,z'
'-x+1/2,-y+1/2,-z'
'-x+1/2,y+1/2,-z'
'x+1/2,-y+1/2,z'
loop_
_atom_site_label
_atom_site_type_symbol
_atom_site_fract_x
_atom_site_fract_y
_atom_site_fract_z
Ba1 Ba 0.0000 0.1661 0.0000
Re1 Re 0.0000 0.5000 0.0000
Hg1 Hg 0.0000 0.0000 0.5000
Hg2 Hg 0.0000 0.3618 0.5000
O1 O 0.1460 0.3752 0.1529
O2 O 0.2197 0.5000 0.8443
```



6.
Entry from Alexandria: a relaxed structure of CaYIn2 (PBE).

Computed properties:
**Energy of formation**: -0.3 eV/f.u.
**Density of states at the Fermi level**: 1.05 states/eV/atom
**Magnetization**: 0.00 μB/f.u.

Cell and atoms, written as CIF:
```
data_CaYIn2
_cell_length_a 7.7081
_cell_length_b 7.7081
_cell_length_c 7.7081
_cell_angle_alpha 90.00
_cell_angle_beta 90.00
_cell_angle_gamma 90.00
_symmetry_space_group_name_H-M 'F -4 3 m'
_symmetry_Int_Tables_number 216
_symmetry_space_group_name_Hall 'F -4 2 3'
loop_
_atom_site_label
_atom_site_type_symbol
_atom_site_fract_x
_atom_site_fract_y
_atom_site_fract_z
Ca1 Ca 0.0000 0.0000 0.0000
Y1 Y 0.2500 0.2500 0.7500
In1 In 0.0000 0.0000 0.5000
In2 In 0.2500 0.2500 0.2500
```



7.
Entry from Alexandria: a relaxed structure of ThZn5P4 (PBE).

Computed properties:
**Energy of formation**: -2.5 eV/f.u.
**Density of states at the Fermi level**: 0.32 states/eV/atom
**Magnetization**: 0.00 μB/f.u.

Cell and atoms, written as CIF:
```
data_ThZn5P4
_cell_length_a 3.9749
_cell_length_b 7.2284
_cell_length_c 13.6039
_cell_angle_alpha 90.00
_cell_angle_beta 90.00
_cell_angle_gamma 90.00
_symmetry_space_group_name_H-M 'I m m m'
_symmetry_Int_Tables_number 71
_symmetry_space_group_name_Hall '-I 2 2'
loop_
_atom_site_label
_atom_site_type_symbol
_atom_site_fract_x
_atom_site_fract_y
_atom_site_fract_z
Th1 Th 0.0000 0.0000 0.0000
Zn1 Zn 0.0000 0.2821 0.3228
Zn2 Zn 0.0000 0.5000 0.0000
P1 P 0.0000 0.0000 0.2193
P2 P 0.0000 0.2170 0.5000
```



8.
Entry from Alexandria: a relaxed structure of BeReAg2 (PBE).

Computed properties:
**Energy of formation**: 3.2 eV/f.u.
**Density of states at the Fermi level**: 0.58 states/eV/atom
**Magnetization**: 0.80 μB/f.u.

Cell and atoms, written as CIF:
```
data_BeReAg2
_cell_length_a 3.7655
_cell_length_b 3.7655
_cell_length_c 8.4764
_cell_angle_alpha 90.00
_cell_angle_beta 90.00
_cell_angle_gamma 90.00
_symmetry_space_group_name_H-M 'I 4/m m m'
_symmetry_Int_Tables_number 139
_symmetry_space_group_name_Hall '-I 4 2'
loop_
_atom_site_label
_atom_site_type_symbol
_atom_site_fract_x
_atom_site_fract_y
_atom_site_fract_z
Be1 Be 0.0000 0.0000 0.0000
Re1 Re 0.0000 0.0000 0.5000
Ag1 Ag 0.0000 0.5000 0.2500
```



no.,calculated density (kg/m³)
1,10098
2,3159
3,5747
4,10726
5,7672
6,5201
7,5803
8,11356